A relaxed YEr5Sc6 crystal, computed with PBE.

Properties
spin magnetization	0.00	μB/cell
E_form	0.708	eV/f.u.
V	27.5	A^3/atom
total energy	-133.120	eV/cell

CIF file:
```
data_YEr5Sc6
_chemical_formula_sum 'Y2 Er10 Sc12'
_cell_length_a 5.8963
_cell_length_b 10.2062
_cell_length_c 11.1286
_cell_angle_alpha 90.00
_cell_angle_beta 100.15
_cell_angle_gamma 90.00
_symmetry_space_group_name_H-M 'C 1 2/m 1'
_symmetry_Int_Tables_number 12
_symmetry_space_group_name_Hall '-C 2y'
loop_
_atom_site_label
_atom_site_fract_x
_atom_site_fract_y
_atom_site_fract_z
Y1 0.0000 0.0000 0.0000
Er1 0.0000 0.1666 0.5000
Er2 0.0000 0.3333 0.0000
Er3 0.0000 0.5000 0.5000
Sc1 0.2487 0.5000 0.2506
Sc2 0.2503 0.1672 0.2506
```

***

A relaxed Zn2Ag2Ge crystal, computed with PBE.

Properties
spin magnetization	0.00	μB/cell
E_form	1.099	eV/f.u.
E above lowest polymorph	117	meV/atom
V	18.8	A^3/atom
total energy	-23.537	eV/cell

CIF file:
```
data_Zn2Ag2Ge
_chemical_formula_sum 'Zn4 Ag4 Ge2'
_cell_length_a 3.8268
_cell_length_b 3.8268
_cell_length_c 12.8437
_cell_angle_alpha 90.00
_cell_angle_beta 90.00
_cell_angle_gamma 90.00
_symmetry_space_group_name_H-M 'I 4/m m m'
_symmetry_Int_Tables_number 139
_symmetry_space_group_name_Hall '-I 4 2'
loop_
_atom_site_label
_atom_site_fract_x
_atom_site_fract_y
_atom_site_fract_z
Zn1 0.0000 0.0000 0.0972
Ag1 0.0000 0.5000 0.2500
Ge1 0.0000 0.0000 0.5000
```

***

A relaxed MnAlP2 crystal, computed with PBE.

Properties
spin magnetization	0.00	μB/cell
E_form	0.459	eV/f.u.
V	12.8	A^3/atom
total energy	-46.545	eV/cell

CIF file:
```
data_MnAlP2
_chemical_formula_sum 'Mn2 Al2 P4'
_cell_length_a 3.0343
_cell_length_b 4.2881
_cell_length_c 7.8937
_cell_angle_alpha 90.00
_cell_angle_beta 90.00
_cell_angle_gamma 90.00
_symmetry_space_group_name_H-M 'I m m 2'
_symmetry_Int_Tables_number 44
_symmetry_space_group_name_Hall 'I 2 -2'
loop_
_atom_site_label
_atom_site_fract_x
_atom_site_fract_y
_atom_site_fract_z
Mn1 0.0000 0.0000 0.0000
Al1 0.0000 0.5000 0.7847
P1 0.0000 0.0000 0.5393
P2 0.0000 0.5000 0.2781
```

***

Number 1: N(E_F) 1.584 states/eV/atom. Number 2: N(E_F) 0.384 states/eV/atom. Number 3: N(E_F) 0.531 states/eV/atom.